Record 1
This record from Alexandria via LeMat-Bulk describes LaMgMnHg2 after structural relaxation. The functional is GGA-PBEsol.

Cell lengths 5.0321, 5.0321, 4.8711 Å; angles 90.00, 90.00, 90.00 degrees
Space group P4/mmm (No. 123)
Unique sites:
La 0.0000 0.0000 0.0000
Mg 0.5000 0.5000 0.0000
Mn 0.5000 0.5000 0.5000
Hg 0.0000 0.5000 0.5000

## Properties
Theoretical density in g cm⁻³: 8.3
Energy of formation from the pure elements in kcal/mol of atoms: 3.0
Fermi-level density of states in states/eV per atom: 1.092

***

Record 2
This record from Alexandria via LeMat-Bulk describes LaMn2Hg after structural relaxation. The functional is GGA-PBEsol.

Cell lengths 6.9883, 6.9883, 6.9883 Å; angles 90.00, 90.00, 90.00 degrees
Space group F-43m (No. 216)
Unique sites:
La 0.0000 0.0000 0.0000
Mn 0.0000 0.0000 0.5000
Mn 0.2500 0.2500 0.7500
Hg 0.2500 0.2500 0.2500

## Properties
Theoretical density in g cm⁻³: 8.7
Energy of formation from the pure elements in kcal/mol of atoms: 9.7
Fermi-level density of states in states/eV per atom: 1.590

***

Record 3
This record from Alexandria via LeMat-Bulk describes LaHgMo after structural relaxation. The functional is GGA-PBEsol.

Cell lengths 3.1037, 3.8841, 11.2281 Å; angles 90.00, 90.00, 90.00 degrees
Space group Imm2 (No. 44)
Unique sites:
La 0.0000 0.0000 0.0000
Hg 0.0000 0.0000 0.2972
Mo 0.0000 0.0000 0.6770

## Properties
Theoretical density in g cm⁻³: 10.7
Energy of formation from the pure elements in kcal/mol of atoms: 9.4
Fermi-level density of states in states/eV per atom: 1.199
Offset from the most stable computed form in eV/f.u.: 0.09

***

Record 4
This record from Alexandria via LeMat-Bulk describes La2HgMo after structural relaxation. The functional is GGA-PBEsol.

Cell lengths 3.5677, 5.3365, 10.3448 Å; angles 90.00, 90.00, 90.00 degrees
Space group Cmm2 (No. 35)
Unique sites:
La 0.0000 0.0000 0.0000
La 0.0000 0.5000 0.3313
Hg 0.0000 0.0000 0.5893
Mo 0.0000 0.5000 0.8002

## Properties
Theoretical density in g cm⁻³: 9.7
Energy of formation from the pure elements in kcal/mol of atoms: 9.0
Fermi-level density of states in states/eV per atom: 1.164

***

Record 5
This record from Alexandria via LeMat-Bulk describes La2HgMo after structural relaxation. The functional is GGA-PBEsol.

Cell lengths 7.1458, 7.1458, 7.1458 Å; angles 90.00, 90.00, 90.00 degrees
Space group F-43m (No. 216)
Unique sites:
La 0.0000 0.0000 0.0000
La 0.2500 0.2500 0.2500
Hg 0.0000 0.0000 0.5000
Mo 0.2500 0.2500 0.7500

## Properties
Theoretical density in g cm⁻³: 10.5
Energy of formation from the pure elements in kcal/mol of atoms: 6.1
Fermi-level density of states in states/eV per atom: 1.346

***

Record 6
This record from Alexandria via LeMat-Bulk describes LaHgMo after structural relaxation. The functional is GGA-PBEsol.

Cell lengths 6.9773, 6.9773, 6.9773 Å; angles 90.00, 90.00, 90.00 degrees
Space group F-43m (No. 216)
Unique sites:
La 0.0000 0.0000 0.0000
Hg 0.2500 0.2500 0.2500
Mo 0.2500 0.2500 0.7500

## Properties
Theoretical density in g cm⁻³: 8.5
Energy of formation from the pure elements in kcal/mol of atoms: 27.4
Fermi-level density of states in states/eV per atom: 0.317
Offset from the most stable computed form in eV/f.u.: 2.42

***

Record 7
This record from Alexandria via LeMat-Bulk describes LaHgMo after structural relaxation. The functional is GGA-PBEsol.

Cell lengths 2.9902, 2.9902, 14.2919 Å; angles 90.00, 90.00, 90.00 degrees
Space group I4mm (No. 107)
Unique sites:
La 0.0000 0.0000 0.0000
Hg 0.0000 0.0000 0.6851
Mo 0.0000 0.0000 0.3282

## Properties
Theoretical density in g cm⁻³: 11.3
Energy of formation from the pure elements in kcal/mol of atoms: 8.7
Fermi-level density of states in states/eV per atom: 0.848
Offset from the most stable computed form in eV/f.u.: 0.00

***

Record 8
This record from Alexandria via LeMat-Bulk describes La2HgMo after structural relaxation. The functional is GGA-PBEsol.

Cell lengths 3.4266, 3.4266, 29.1429 Å; angles 90.00, 90.00, 120.00 degrees
Space group R3m (No. 160, hexagonal axes)
Unique sites:
La 0.0000 0.0000 0.0000
La 0.0000 0.0000 0.2303
Hg 0.0000 0.0000 0.7568
Mo 0.0000 0.0000 0.4943

## Properties
Theoretical density in g cm⁻³: 9.7
Energy of formation from the pure elements in kcal/mol of atoms: 9.6
Fermi-level density of states in states/eV per atom: 1.236

***

Record 9
This record from Alexandria via LeMat-Bulk describes Na2LaHg2 after structural relaxation. The functional is GGA-PBEsol.

Cell lengths 4.2496, 4.2496, 14.8584 Å; angles 90.00, 90.00, 90.00 degrees
Space group I4/mmm (No. 139)
Unique sites:
Na 0.0000 0.5000 0.2500
La 0.0000 0.0000 0.0000
Hg 0.0000 0.0000 0.4004

## Properties
Theoretical density in g cm⁻³: 7.3
Energy of formation from the pure elements in kcal/mol of atoms: -5.8
Fermi-level density of states in states/eV per atom: 0.640

***

Record 10
This record from Alexandria via LeMat-Bulk describes NaLaHg2 after structural relaxation. The functional is GGA-PBEsol.

Cell lengths 7.4217, 7.4217, 7.4217 Å; angles 90.00, 90.00, 90.00 degrees
Space group Fm-3m (No. 225)
Unique sites:
Na 0.0000 0.0000 0.0000
La 0.0000 0.0000 0.5000
Hg 0.2500 0.2500 0.2500

## Properties
Theoretical density in g cm⁻³: 9.1
Energy of formation from the pure elements in kcal/mol of atoms: -10.3
Fermi-level density of states in states/eV per atom: 0.665

***

Record 11
This record from Alexandria via LeMat-Bulk describes NaLa2Hg2 after structural relaxation. The functional is GGA-PBEsol.

Cell lengths 8.8587, 8.8587, 3.7730 Å; angles 90.00, 90.00, 90.00 degrees
Space group P4/mbm (No. 127)
Unique sites:
Na 0.0000 0.0000 0.0000
La 0.1645 0.3355 0.5000
Hg 0.1314 0.6314 0.0000

## Properties
Theoretical density in g cm⁻³: 7.9
Energy of formation from the pure elements in kcal/mol of atoms: -8.4
Fermi-level density of states in states/eV per atom: 0.934

***

Record 12
This record from Alexandria via LeMat-Bulk describes NaLaHg2Pt after structural relaxation. The functional is GGA-PBEsol.

Cell lengths 5.1795, 5.1795, 4.9587 Å; angles 90.00, 90.00, 90.00 degrees
Space group P4/mmm (No. 123)
Unique sites:
Na 0.0000 0.0000 0.0000
La 0.5000 0.5000 0.0000
Hg 0.0000 0.5000 0.5000
Pt 0.0000 0.0000 0.5000

## Properties
Theoretical density in g cm⁻³: 9.5
Energy of formation from the pure elements in kcal/mol of atoms: -0.6
Fermi-level density of states in states/eV per atom: 0.971

***

Record 13
This record from Alexandria via LeMat-Bulk describes RbLaNbHg2 after structural relaxation. The functional is GGA-PBEsol.

Cell lengths 6.0432, 6.0432, 5.1396 Å; angles 90.00, 90.00, 90.00 degrees
Space group P4/mmm (No. 123)
Unique sites:
Rb 0.0000 0.0000 0.0000
La 0.5000 0.5000 0.5000
Nb 0.5000 0.5000 0.0000
Hg 0.0000 0.5000 0.5000

## Properties
Theoretical density in g cm⁻³: 6.4
Energy of formation from the pure elements in kcal/mol of atoms: 19.0
Fermi-level density of states in states/eV per atom: 1.040

***

Record 14
This record from Alexandria via LeMat-Bulk describes LaNiHg2 after structural relaxation. The functional is GGA-PBEsol.

Cell lengths 3.3470, 3.3470, 7.3449 Å; angles 90.00, 90.00, 90.00 degrees
Space group P4/mmm (No. 123)
Unique sites:
La 0.0000 0.0000 0.0000
Ni 0.0000 0.0000 0.5000
Hg 0.5000 0.5000 0.3063

## Properties
Theoretical density in g cm⁻³: 12.1
Energy of formation from the pure elements in kcal/mol of atoms: -4.4
Fermi-level density of states in states/eV per atom: 0.626

***

Record 15
This record from Alexandria via LeMat-Bulk describes La2NiHg after structural relaxation. The functional is GGA-PBEsol.

Cell lengths 3.9734, 3.9734, 23.9479 Å; angles 90.00, 90.00, 120.00 degrees
Space group R-3m (No. 166, hexagonal axes)
Unique sites:
La 0.0000 0.0000 0.2345
Ni 0.0000 0.0000 0.5000
Hg 0.0000 0.0000 0.0000

## Properties
Theoretical density in g cm⁻³: 8.2
Energy of formation from the pure elements in kcal/mol of atoms: -7.1
Fermi-level density of states in states/eV per atom: 0.639

***

Record 16
This record from Alexandria via LeMat-Bulk describes La2NiHg after structural relaxation. The functional is GGA-PBEsol.

Cell lengths 3.5968, 3.5968, 7.5590 Å; angles 90.00, 90.00, 90.00 degrees
Space group P4/mmm (No. 123)
Unique sites:
La 0.0000 0.0000 0.2144
Ni 0.5000 0.5000 0.0000
Hg 0.5000 0.5000 0.5000

## Properties
Theoretical density in g cm⁻³: 9.1
Energy of formation from the pure elements in kcal/mol of atoms: -8.5
Fermi-level density of states in states/eV per atom: 0.910

***

Record 17
This record from Alexandria via LeMat-Bulk describes LaNiHgPb2 after structural relaxation. The functional is GGA-PBEsol.

Cell lengths 5.0459, 5.0459, 4.9588 Å; angles 90.00, 90.00, 90.00 degrees
Space group P4/mmm (No. 123)
Unique sites:
La 0.0000 0.0000 0.0000
Ni 0.5000 0.5000 0.5000
Hg 0.5000 0.5000 0.0000
Pb 0.0000 0.5000 0.5000

## Properties
Theoretical density in g cm⁻³: 10.7
Energy of formation from the pure elements in kcal/mol of atoms: -3.7
Fermi-level density of states in states/eV per atom: 0.701

***

Record 18
This record from Alexandria via LeMat-Bulk describes La2HgO2 after structural relaxation. The functional is GGA-PBEsol.

Cell lengths 4.1080, 4.1080, 12.8290 Å; angles 90.00, 90.00, 90.00 degrees
Space group I4/mmm (No. 139)
Unique sites:
La 0.0000 0.0000 0.1589
Hg 0.0000 0.0000 0.5000
O 0.0000 0.5000 0.2500

## Properties
Theoretical density in g cm⁻³: 7.8
Fermi-level density of states in states/eV per atom: 0.530
Formation energy (no corrections) in meV/atom: -2494

***

Record 19
This record from Alexandria via LeMat-Bulk describes LaHgP2O after structural relaxation. The functional is GGA-PBEsol.

Cell lengths 4.8833, 4.8833, 4.2835 Å; angles 90.00, 90.00, 90.00 degrees
Space group P4/mmm (No. 123)
Unique sites:
La 0.0000 0.0000 0.0000
Hg 0.5000 0.5000 0.5000
P 0.0000 0.5000 0.5000
O 0.5000 0.5000 0.0000

## Properties
Theoretical density in g cm⁻³: 6.8
Fermi-level density of states in states/eV per atom: 0.925
Formation energy (no corrections) in meV/atom: -134

***

Record 20
This record from Alexandria via LeMat-Bulk describes LaHgOs3 after structural relaxation. The functional is GGA-PBEsol.

Cell lengths 4.8173, 4.8173, 4.8173 Å; angles 90.00, 90.00, 90.00 degrees
Space group Pm-3m (No. 221)
Unique sites:
La 0.0000 0.0000 0.0000
Hg 0.5000 0.5000 0.5000
Os 0.0000 0.0000 0.5000

## Properties
Theoretical density in g cm⁻³: 13.5
Energy of formation from the pure elements in kcal/mol of atoms: 67.6
Fermi-level density of states in states/eV per atom: 1.776

***

Record 21
This record from Alexandria via LeMat-Bulk describes LaHgOs2 after structural relaxation. The functional is GGA-PBEsol.

Cell lengths 4.2359, 4.2359, 8.3952 Å; angles 90.00, 90.00, 90.00 degrees
Space group I-4m2 (No. 119)
Unique sites:
La 0.0000 0.0000 0.0000
Hg 0.0000 0.5000 0.7500
Os 0.0000 0.0000 0.5000
Os 0.0000 0.5000 0.2500

## Properties
Theoretical density in g cm⁻³: 15.9
Energy of formation from the pure elements in kcal/mol of atoms: 16.3
Fermi-level density of states in states/eV per atom: 1.443

***

Record 22
This record from Alexandria via LeMat-Bulk describes LaHgOs2 after structural relaxation. The functional is GGA-PBEsol.

Cell lengths 4.2565, 4.2565, 4.1159 Å; angles 90.00, 90.00, 90.00 degrees
Space group P4/mmm (No. 123)
Unique sites:
La 0.0000 0.0000 0.0000
Hg 0.5000 0.5000 0.0000
Os 0.0000 0.5000 0.5000

## Properties
Theoretical density in g cm⁻³: 16.0
Energy of formation from the pure elements in kcal/mol of atoms: 14.1
Fermi-level density of states in states/eV per atom: 1.215

***

Record 23
This record from Alexandria via LeMat-Bulk describes LaHg3Os after structural relaxation. The functional is GGA-PBEsol.

Cell lengths 5.1028, 5.1028, 5.1028 Å; angles 90.00, 90.00, 90.00 degrees
Space group Pm-3m (No. 221)
Unique sites:
La 0.0000 0.0000 0.0000
Hg 0.0000 0.5000 0.5000
Os 0.5000 0.5000 0.5000

## Properties
Theoretical density in g cm⁻³: 11.6
Energy of formation from the pure elements in kcal/mol of atoms: 7.4
Fermi-level density of states in states/eV per atom: 1.038
Offset from the most stable computed form in eV/f.u.: 0.00

***

Record 24
This record from Alexandria via LeMat-Bulk describes La2Hg2Os after structural relaxation. The functional is GGA-PBEsol.

Cell lengths 5.9350, 5.9350, 7.8403 Å; angles 90.00, 90.00, 90.00 degrees
Space group I4/mmm (No. 139)
Unique sites:
La 0.0000 0.5000 0.2500
Hg 0.0000 0.0000 0.1645
Os 0.0000 0.0000 0.5000

## Properties
Theoretical density in g cm⁻³: 10.5
Energy of formation from the pure elements in kcal/mol of atoms: 8.0
Fermi-level density of states in states/eV per atom: 0.734

***

Record 25
This record from Alexandria via LeMat-Bulk describes LaHg3Os after structural relaxation. The functional is GGA-PBEsol.

Cell lengths 5.7232, 5.7232, 5.7232 Å; angles 90.00, 90.00, 90.00 degrees
Space group Pm-3m (No. 221)
Unique sites:
La 0.0000 0.0000 0.0000
Hg 0.0000 0.0000 0.5000
Os 0.5000 0.5000 0.5000

## Properties
Theoretical density in g cm⁻³: 8.2
Energy of formation from the pure elements in kcal/mol of atoms: 44.7
Fermi-level density of states in states/eV per atom: 1.507
Offset from the most stable computed form in eV/f.u.: 8.08

***

Record 26
This record from Alexandria via LeMat-Bulk describes LaHg2P after structural relaxation. The functional is GGA-PBEsol.

Cell lengths 5.8692, 6.1116, 5.4775 Å; angles 90.00, 90.00, 90.00 degrees
Space group Cmmm (No. 65)
Unique sites:
La 0.0000 0.0000 0.0000
Hg 0.0000 0.2668 0.5000
P 0.0000 0.5000 0.0000

## Properties
Theoretical density in g cm⁻³: 9.7
Energy of formation from the pure elements in kcal/mol of atoms: -13.4
Fermi-level density of states in states/eV per atom: 0.328

***

Record 27
This record from Alexandria via LeMat-Bulk describes LaTc2HgP after structural relaxation. The functional is GGA-PBEsol.

Cell lengths 4.4527, 4.4527, 5.3086 Å; angles 90.00, 90.00, 90.00 degrees
Space group P4/mmm (No. 123)
Unique sites:
La 0.0000 0.0000 0.0000
Tc 0.0000 0.5000 0.5000
Hg 0.5000 0.5000 0.0000
P 0.0000 0.0000 0.5000

## Properties
Theoretical density in g cm⁻³: 8.9
Energy of formation from the pure elements in kcal/mol of atoms: 6.3
Fermi-level density of states in states/eV per atom: 1.280

***

Record 28
This record from Alexandria via LeMat-Bulk describes La2HgPb after structural relaxation. The functional is GGA-PBEsol.

Cell lengths 7.3935, 8.6135, 3.6574 Å; angles 90.00, 90.00, 90.00 degrees
Space group Cmmm (No. 65)
Unique sites:
La 0.2500 0.2500 0.0000
Hg 0.0000 0.0000 0.5000
Pb 0.0000 0.5000 0.5000

## Properties
Theoretical density in g cm⁻³: 9.8
Energy of formation from the pure elements in kcal/mol of atoms: -13.3
Fermi-level density of states in states/eV per atom: 0.909

***

Record 29
This record from Alexandria via LeMat-Bulk describes La2Hg2Pb after structural relaxation. The functional is GGA-PBEsol.

Cell lengths 8.4891, 8.4891, 3.9719 Å; angles 90.00, 90.00, 90.00 degrees
Space group P4/mbm (No. 127)
Unique sites:
La 0.1744 0.3256 0.0000
Hg 0.1238 0.6238 0.5000
Pb 0.0000 0.0000 0.5000

## Properties
Theoretical density in g cm⁻³: 10.3
Energy of formation from the pure elements in kcal/mol of atoms: -12.3
Fermi-level density of states in states/eV per atom: 0.871
Offset from the most stable computed form in eV/f.u.: 0.00